Record 1
# Pu2SeBr

A relaxed Pu2SeBr crystal (PBE-GGA, Alexandria).

a = 3.859 Å, b = 3.859 Å, c = 8.385 Å
α = 76.70°, β = 76.70°, γ = 60.00°
Each line ends with the local moment (μB).
Atoms (fractional coordinates):
Pu 0.076 0.076 0.773  -5.57
Pu 0.258 0.258 0.225  5.63
Br 0.498 0.498 0.505  0.01
Se 0.667 0.667 0.998  0.00

calculated volume: 104 Å³/cell
energy above the lowest structure with this stoichiometry: 23 meV per atom
total moment: 0.14 μB per formula unit
DOS(E_F): 3.681 states/eV per atom


Record 2
# PuSe2Br2

A relaxed PuSe2Br2 crystal (PBE-GGA, Alexandria).

a = 7.434 Å, b = 7.207 Å, c = 7.743 Å
α = 93.44°, β = 61.31°, γ = 97.18°
Each line ends with the local moment (μB).
Atoms (fractional coordinates):
Pu 0.161 0.500 0.679  -4.94
Pu 0.839 0.500 0.321  -4.94
Br 0.130 0.741 0.413  0.06
Br 0.457 0.259 0.413  0.06
Br 0.543 0.741 0.587  0.06
Br 0.870 0.259 0.587  0.06
Se 0.035 0.793 0.000  0.03
Se 0.762 0.601 0.000  0.06
Se 0.965 0.207 0.000  0.03
Se 0.238 0.399 0.000  0.06

calculated volume: 361 Å³/cell
total moment: 4.77 μB per formula unit
raw total energy: -59.94 eV for the cell shown
DOS(E_F): 1.724 states/eV per atom


Record 3
# Pu2SeBr

A relaxed Pu2SeBr crystal (PBE-GGA, Alexandria).

a = 5.141 Å, b = 5.141 Å, c = 5.141 Å
α = 60.00°, β = 60.00°, γ = 60.00°
Each line ends with the local moment (μB).
Atoms (fractional coordinates):
Br 0.000 0.000 0.000  -0.03
Pu 0.250 0.250 0.250  5.93
Pu 0.750 0.750 0.750  5.93
Se 0.500 0.500 0.500  -0.09

calculated volume: 96 Å³/cell
energy above the lowest structure with this stoichiometry: 118 meV per atom
total moment: 12.89 μB per formula unit
DOS(E_F): 2.983 states/eV per atom


Record 4
# PuSeBr

A relaxed PuSeBr crystal (PBE-GGA, Alexandria).

a = 4.226 Å, b = 4.226 Å, c = 6.686 Å
α = 90.00°, β = 90.00°, γ = 120.00°
Each line ends with the local moment (μB).
Atoms (fractional coordinates):
Pu 0.667 0.333 0.349  5.13
Se 0.333 0.667 0.561  -0.14
Br 0.000 0.000 0.090  -0.07

calculated volume: 103 Å³/cell
energy above the lowest structure with this stoichiometry: 97 meV per atom
total moment: 5.00 μB per formula unit
DOS(E_F): 3.350 states/eV per atom


Record 5
# Pu2SeBr3

A relaxed Pu2SeBr3 crystal (PBE-GGA, Alexandria).

a = 4.019 Å, b = 8.431 Å, c = 10.973 Å
α = 112.11°, β = 100.55°, γ = 90.00°
Each line ends with the local moment (μB).
Atoms (fractional coordinates):
Br 0.023 0.835 0.045  0.05
Br 0.597 0.508 0.195  -0.02
Br 0.321 0.063 0.642  -0.02
Br 0.403 0.492 0.805  -0.02
Br 0.977 0.165 0.955  0.05
Br 0.679 0.937 0.358  -0.02
Se 0.808 0.690 0.615  -0.02
Se 0.192 0.310 0.385  -0.02
Pu 0.206 0.684 0.413  5.32
Pu 0.794 0.316 0.587  5.32
Pu 0.413 0.857 0.826  -5.42
Pu 0.587 0.143 0.174  -5.42

calculated volume: 338 Å³/cell
total moment: 0.18 μB per formula unit
raw total energy: -92.14 eV for the cell shown
DOS(E_F): 3.809 states/eV per atom


Record 6
# PuSeBr

A relaxed PuSeBr crystal (PBE-GGA, Alexandria).

a = 4.946 Å, b = 4.946 Å, c = 4.946 Å
α = 60.00°, β = 60.00°, γ = 60.00°
Each line ends with the local moment (μB).
Atoms (fractional coordinates):
Se 0.000 0.000 0.000  -0.13
Br 0.500 0.500 0.500  -0.08
Pu 0.250 0.250 0.250  5.16

calculated volume: 86 Å³/cell
energy above the lowest structure with this stoichiometry: 142 meV per atom
total moment: 5.00 μB per formula unit
DOS(E_F): 2.465 states/eV per atom


Record 7
# PuSeBr3

A relaxed PuSeBr3 crystal (PBE-GGA, Alexandria).

a = 7.439 Å, b = 7.362 Å, c = 14.593 Å
α = 90.00°, β = 97.42°, γ = 90.00°
Each line ends with the local moment (μB).
Atoms (fractional coordinates):
Br 0.619 0.762 0.914  -0.11
Br 0.770 0.419 0.698  -0.12
Br 0.619 0.238 0.414  -0.11
Br 0.132 0.283 0.531  -0.09
Br 0.132 0.717 0.031  -0.09
Br 0.868 0.283 0.969  -0.09
Br 0.868 0.717 0.469  -0.09
Br 0.381 0.762 0.586  -0.11
Br 0.770 0.581 0.198  -0.12
Br 0.230 0.581 0.302  -0.12
Br 0.381 0.238 0.086  -0.11
Br 0.230 0.419 0.802  -0.12
Se 0.147 0.123 0.287  -0.25
Se 0.853 0.123 0.213  -0.25
Se 0.147 0.877 0.787  -0.25
Se 0.853 0.877 0.713  -0.25
Pu 0.917 0.396 0.364  4.69
Pu 0.083 0.604 0.636  4.69
Pu 0.917 0.604 0.864  4.69
Pu 0.083 0.396 0.136  4.69

calculated volume: 792 Å³/cell
total moment: 3.99 μB per formula unit
raw total energy: -113.81 eV for the cell shown
DOS(E_F): 1.854 states/eV per atom


Record 8
# PuTlSeBr

A relaxed PuTlSeBr crystal (PBE-GGA, Alexandria).

a = 4.248 Å, b = 4.248 Å, c = 8.667 Å
α = 90.01°, β = 104.18°, γ = 120.00°
Each line ends with the local moment (μB).
Atoms (fractional coordinates):
Br 0.931 0.364 0.310  -0.04
Tl 0.500 0.148 0.664  0.03
Se 0.328 0.562 0.906  -0.05
Pu 0.118 0.957 0.090  5.60

calculated volume: 130 Å³/cell
total moment: 6.00 μB per formula unit
raw total energy: -26.12 eV for the cell shown
DOS(E_F): 2.341 states/eV per atom